1.
Material: La4Pr2Tm3
Method: DFT, GGA-PBE
State: relaxed

Cell lengths 3.6406, 3.6406, 27.4260 Å; angles 90.00, 90.00, 120.00 degrees
Space group P3m1 (No. 156)
Unique sites:
La  0.0000  0.0000  0.0000 [1 per cell]
La  0.0000  0.0000  0.2095 [1 per cell]
La  0.3333  0.6667  0.3291 [1 per cell]
La  0.3333  0.6667  0.5396 [1 per cell]
Pr  0.0000  0.0000  0.6577 [1 per cell]
Pr  0.0000  0.0000  0.8653 [1 per cell]
Tm  0.0000  0.0000  0.4341 [1 per cell]
Tm  0.3333  0.6667  0.1039 [1 per cell]
Tm  0.3333  0.6667  0.7624 [1 per cell]

**Raw total energy**: -42.192 eV per formula unit
**Offset from the most stable computed form**: 0.0000 eV/atom

2.
Material: La2Pr6Tm
Method: DFT, GGA-PBE
State: relaxed

Cell lengths 3.6813, 3.6813, 27.6297 Å; angles 90.00, 90.00, 120.00 degrees
Space group P-6m2 (No. 187)
Unique sites:
La  0.0000  0.0000  0.1712 [2 per cell]
Pr  0.0000  0.0000  0.3958 [2 per cell]
Pr  0.6667  0.3333  0.0624 [2 per cell]
Pr  0.6667  0.3333  0.2851 [2 per cell]
Tm  0.6667  0.3333  0.5000 [1 per cell]

**Raw total energy**: -42.482 eV per formula unit
**Offset from the most stable computed form**: 0.0392 eV/atom

3.
Material: La14PrTm
Method: DFT, GGA-PBE
State: relaxed

Cell lengths 12.231, 12.221, 7.684 Å; angles 90.00, 90.00, 90.00 degrees
Space group Amm2 (No. 38)
Unique sites:
La  0.000  0.000  0.000 [2 per cell]
La  0.000  0.000  0.485 [2 per cell]
La  0.000  0.248  0.789 [4 per cell]
La  0.245  0.000  0.798 [4 per cell]
La  0.250  0.245  0.585 [8 per cell]
La  0.265  0.000  0.289 [4 per cell]
La  0.500  0.236  0.291 [4 per cell]
Pr  0.500  0.000  0.987 [2 per cell]
Tm  0.500  0.000  0.548 [2 per cell]

**Raw total energy**: -76.880 eV per formula unit

4.
Material: La3PrTm
Method: DFT, GGA-PBE
State: relaxed

Cell lengths 6.773, 6.784, 9.256 Å; angles 104.41, 101.29, 112.82 degrees
Space group P-1 (No. 2)
Unique sites:
La  0.100  0.018  0.198 [2 per cell]
La  0.214  0.834  0.550 [2 per cell]
La  0.323  0.400  0.803 [2 per cell]
Pr  0.500  0.000  0.000 [1 per cell]
Pr  0.500  0.500  0.500 [1 per cell]
Tm  0.146  0.505  0.160 [2 per cell]

**Raw total energy**: -23.215 eV per formula unit
**Offset from the most stable computed form**: 0.0000 eV/atom

5.
Material: La3Pr4Tm2
Method: DFT, GGA-PBE
State: relaxed

Cell lengths 11.736, 5.917, 9.326 Å; angles 90.00, 101.77, 90.00 degrees
Space group C2/m (No. 12)
Unique sites:
La  0.000  0.000  0.000 [2 per cell]
La  0.118  0.000  0.683 [4 per cell]
Pr  0.178  0.500  0.962 [4 per cell]
Pr  0.226  0.000  0.371 [4 per cell]
Tm  0.060  0.500  0.311 [4 per cell]

**Raw total energy**: -41.956 eV per formula unit
**Offset from the most stable computed form**: 0.0000 eV/atom

6.
Material: LaPr2Tm
Method: DFT, GGA-PBE
State: relaxed

Cell lengths 12.174, 3.683, 6.309 Å; angles 90.00, 100.10, 90.00 degrees
Space group C2/m (No. 12)
Unique sites:
La  0.000  0.000  0.000 [2 per cell]
Pr  0.247  0.000  0.748 [4 per cell]
Tm  0.000  0.500  0.500 [2 per cell]

**Raw total energy**: -18.877 eV per formula unit
**Offset from the most stable computed form**: 0.0073 eV/atom

7.
Material: La2Pr6Tm5
Method: DFT, GGA-PBE
State: relaxed

Cell lengths 11.931, 20.585, 3.671 Å; angles 90.00, 90.00, 90.00 degrees
Space group Pbam (No. 55)
Unique sites:
La  0.165  0.217  0.000 [4 per cell]
Pr  0.056  0.923  0.000 [4 per cell]
Pr  0.080  0.636  0.000 [4 per cell]
Pr  0.179  0.377  0.500 [4 per cell]
Tm  0.000  0.500  0.500 [2 per cell]
Tm  0.096  0.778  0.500 [4 per cell]
Tm  0.202  0.055  0.500 [4 per cell]

**Raw total energy**: -59.536 eV per formula unit

8.
Material: La2PrTm4
Method: DFT, GGA-PBE
State: relaxed

Cell lengths 7.098, 8.645, 8.935 Å; angles 114.42, 101.58, 102.01 degrees
Space group P1 (No. 1)
Unique sites:
La  0.000  0.000  0.000 [1 per cell]
La  0.032  0.829  0.282 [1 per cell]
La  0.496  0.999  0.005 [1 per cell]
La  0.923  0.247  0.428 [1 per cell]
Pr  0.387  0.415  0.144 [1 per cell]
Pr  0.705  0.126  0.709 [1 per cell]
Tm  0.109  0.560  0.874 [1 per cell]
Tm  0.209  0.125  0.712 [1 per cell]
Tm  0.307  0.674  0.550 [1 per cell]
Tm  0.421  0.247  0.428 [1 per cell]
Tm  0.531  0.832  0.283 [1 per cell]
Tm  0.604  0.559  0.870 [1 per cell]
Tm  0.807  0.674  0.550 [1 per cell]
Tm  0.884  0.409  0.144 [1 per cell]

**Raw total energy**: -32.109 eV per formula unit
**Offset from the most stable computed form**: 0.0000 eV/atom

9.
Material: LaPrTm3
Method: DFT, GGA-PBE
State: relaxed

Cell lengths 3.668, 11.542, 8.662 Å; angles 90.00, 102.22, 90.00 degrees
Space group P2_1/m (No. 11)
Unique sites:
La  0.186  0.250  0.371 [2 per cell]
Pr  0.483  0.750  0.979 [2 per cell]
Tm  0.152  0.750  0.308 [2 per cell]
Tm  0.340  0.005  0.680 [4 per cell]

**Raw total energy**: -21.565 eV per formula unit
**Offset from the most stable computed form**: 0.1297 eV/atom

10.
Material: La2PrTm8
Method: DFT, GGA-PBE
State: relaxed

Cell lengths 16.641, 6.566, 6.658 Å; angles 90.00, 99.71, 90.00 degrees
Space group C2/m (No. 12)
Unique sites:
La  0.248  0.000  0.317 [4 per cell]
Pr  0.000  0.000  0.000 [2 per cell]
Tm  0.086  0.261  0.404 [8 per cell]
Tm  0.088  0.500  0.908 [4 per cell]
Tm  0.203  0.000  0.810 [4 per cell]

**Raw total energy**: -48.371 eV per formula unit
**Offset from the most stable computed form**: 0.1464 eV/atom

11.
Material: LaPr3Tm7
Method: DFT, GGA-PBE
State: relaxed

Cell lengths 6.525, 6.652, 8.647 Å; angles 98.68, 99.22, 94.79 degrees
Space group P-1 (No. 2)
Unique sites:
La  0.000  0.000  0.000 [1 per cell]
Pr  0.294  0.436  0.343 [2 per cell]
Pr  0.500  0.000  0.500 [1 per cell]
Tm  0.000  0.500  0.000 [1 per cell]
Tm  0.055  0.205  0.643 [2 per cell]
Tm  0.233  0.719  0.719 [2 per cell]
Tm  0.486  0.240  0.911 [2 per cell]

**Raw total energy**: -49.278 eV per formula unit
**Offset from the most stable computed form**: 0.0000 eV/atom

12.
Material: La3Pr3Tm5
Method: DFT, GGA-PBE
State: relaxed

Cell lengths 9.7262, 9.7262, 5.4192 Å; angles 90.00, 90.00, 120.00 degrees
Space group P-62m (No. 189)
Unique sites:
La  0.0000  0.7299  0.0000 [3 per cell]
Pr  0.0000  0.5719  0.5000 [3 per cell]
Tm  0.0000  0.3624  0.0000 [3 per cell]
Tm  0.3333  0.6667  0.0000 [2 per cell]

**Raw total energy**: -43.903 eV per formula unit

Number 1: size of the total moment 0.00 μB per formula unit, energy relative to the elements 55 meV per atom, DOS(E_F) 15.0 states/eV/f.u.. Number 2: size of the total moment 0.00 μB per formula unit, energy relative to the elements 58 meV per atom, DOS(E_F) 15.8 states/eV/f.u.. Number 3: size of the total moment 0.00 μB per formula unit, energy relative to the elements 85 meV per atom, DOS(E_F) 26.9 states/eV/f.u.. Number 4: size of the total moment 0.00 μB per formula unit, energy relative to the elements 164 meV per atom, DOS(E_F) 7.9 states/eV/f.u.. Number 5: size of the total moment 0.00 μB per formula unit, energy relative to the elements 99 meV per atom, DOS(E_F) 13.4 states/eV/f.u.. Number 6: size of the total moment 0.00 μB per formula unit, energy relative to the elements 20 meV per atom, DOS(E_F) 6.0 states/eV/f.u.. Number 7: size of the total moment 0.00 μB per formula unit, energy relative to the elements 104 meV per atom, DOS(E_F) 16.5 states/eV/f.u.. Number 8: size of the total moment 0.00 μB per formula unit, energy relative to the elements 59 meV per atom, DOS(E_F) 10.8 states/eV/f.u.. Number 9: size of the total moment 0.00 μB per formula unit, energy relative to the elements 311 meV per atom, DOS(E_F) 7.0 states/eV/f.u.. Number 10: size of the total moment 0.00 μB per formula unit, energy relative to the elements 185 meV per atom, DOS(E_F) 16.6 states/eV/f.u.. Number 11: size of the total moment 0.00 μB per formula unit, energy relative to the elements 117 meV per atom, DOS(E_F) 16.9 states/eV/f.u.. Number 12: size of the total moment 0.00 μB per formula unit, energy relative to the elements 689 meV per atom, DOS(E_F) 16.5 states/eV/f.u..